HoBeCu4: relaxed, PBE.

Cell: 5.0547 5.0547 3.8777 Å, 90.00 90.00 120.00°
Space group P-6m2 (No. 187)
Asymmetric unit:
Ho 0.0000 0.0000 0.0000
Be 0.3333 0.6667 0.0000
Cu 0.0089 0.5044 0.5000
Cu 0.6667 0.3333 0.0000

Results
- Energy relative to the elements: -3.8 kcal/mol of atoms
- E above lowest polymorph: 0.00 kJ/mol of atoms
- M_tot: 0.00 μB per cell
- Uncorrected energy: -25.67 eV per cell